(1)
Sr2AlO: optimized geometry, PBEsol.

Lattice parameters (Å, degrees): 6.7469 6.7469 6.7469 115.10 115.10 98.71
Last column: nearest neighbours and their distance in Å.
Element x y z (fractional)
Sr 0.0169 0.1250 0.3919  2 O 2.35
Sr 0.3750 0.9831 0.1081  2 O 2.35
Sr 0.7331 0.6250 0.6081  2 O 2.35
Sr 0.8750 0.2669 0.8919  2 O 2.35
Al 0.2500 0.7500 0.5000  4 Sr 3.35
Al 0.5000 0.5000 0.0000  4 Sr 3.35
O 0.0000 0.0000 0.0000  4 Sr 2.35
O 0.7500 0.2500 0.5000  4 Sr 2.35

Properties
Size of the total moment in μB per atom: 0.000
Formation energy without anion corrections in meV per atom: -1149
Symmetry: I-42d (122)
Energy in eV/cell: -35.2
V in Å³ per cell: 230.3
Density of states at the Fermi level in states/eV/f.u.: 1.97


(2)
SrAlO3: optimized geometry, PBEsol.

Lattice parameters (Å, degrees): 3.7922 3.7922 3.7922 90.00 90.00 90.00
Last column: nearest neighbours and their distance in Å.
Element x y z (fractional)
Sr 0.0000 0.0000 0.0000  12 O 2.68
Al 0.5000 0.5000 0.5000  6 O 1.90
O 0.0000 0.5000 0.5000  2 Al 1.90
O 0.5000 0.0000 0.5000  2 Al 1.90
O 0.5000 0.5000 0.0000  2 Al 1.90

Properties
Size of the total moment in μB per atom: 0.141
Formation energy without anion corrections in meV per atom: -2679
Symmetry: Pm-3m (221)
Energy in eV/cell: -35.1
V in Å³ per cell: 54.5
Density of states at the Fermi level in states/eV/f.u.: 3.72